Compound: Al2Pd2Pt5
Source: the Alexandria database
Functional: GGA-PBE
Structure: relaxed

abc: 4.0639 4.9842 14.9503
angles: 142.38 90.00 114.06
Sites, in units of the cell vectors:
Pt1 0.1850 0.3701 0.5278
Pt2 0.5074 0.0147 0.8640
Pt3 0.0000 0.0000 0.0000
Pt4 0.8150 0.6299 0.4722
Pt5 0.4926 0.9853 0.1360
Al1 0.6609 0.3218 0.6782
Al2 0.3391 0.6782 0.3218
Pd1 0.0897 0.1794 0.7822
Pd2 0.9103 0.8206 0.2178

Compound: AlPd4Pt2
Source: the Alexandria database
Functional: GGA-PBE
Structure: relaxed

abc: 5.5044 5.4496 5.4496
angles: 88.46 59.67 59.67
Sites, in units of the cell vectors:
Pd1 0.5000 0.0000 0.5000
Pd2 0.5000 0.5000 0.0000
Pd3 0.0000 0.5000 0.0000
Pd4 0.0000 0.0000 0.5000
Pt1 0.5000 0.5000 0.5000
Pt2 0.0000 0.5000 0.5000
Al1 0.0000 0.0000 0.0000

polymorph energy (0 for the lowest one) = 0 kJ/mol of formula units

Compound: Al2Pd8Pt
Source: the Alexandria database
Functional: GGA-PBE
Structure: relaxed

abc: 3.9640 6.1299 7.3221
angles: 103.98 105.71 90.00
Sites, in units of the cell vectors:
Pd1 0.4083 0.5506 0.8167
Pd2 0.5917 0.4494 0.1833
Pd3 0.3171 0.0879 0.6342
Pd4 0.9559 0.2638 0.9118
Pd5 0.6829 0.9121 0.3658
Pd6 0.2276 0.6343 0.4553
Pd7 0.0441 0.7362 0.0882
Pd8 0.7724 0.3657 0.5447
Al1 0.1370 0.1824 0.2740
Al2 0.8630 0.8176 0.7260
Pt1 0.5000 0.0000 0.0000

Compound: AlPd2Pt2
Source: the Alexandria database
Functional: GGA-PBE
Structure: relaxed

abc: 5.5597 5.0099 7.3155
angles: 78.39 68.74 56.30
Sites, in units of the cell vectors:
Pt1 0.3602 0.5793 0.2932
Pt2 0.0606 0.5793 0.7068
Pt3 0.9394 0.4207 0.2932
Pt4 0.6398 0.4207 0.7068
Pd1 0.2445 0.0000 0.5432
Pd2 0.6099 0.0000 0.1318
Pd3 0.3901 0.0000 0.8682
Pd4 0.7555 0.0000 0.4568
Al1 0.8149 0.3702 0.0000
Al2 0.1851 0.6298 0.0000

polymorph energy (0 for the lowest one) = 0 kJ/mol of formula units

Compound: Al2Pd2Pt7
Source: the Alexandria database
Functional: GGA-PBE
Structure: relaxed

abc: 5.2130 6.0066 6.0066
angles: 80.13 100.18 100.18
Sites, in units of the cell vectors:
Pt1 0.7459 0.0341 0.4221
Pt2 0.5000 0.0000 0.0000
Pt3 0.2541 0.5779 0.9659
Pt4 0.7459 0.4221 0.0341
Pt5 0.7422 0.4854 0.4854
Pt6 0.2578 0.5146 0.5146
Pt7 0.2541 0.9659 0.5779
Al1 0.6784 0.7590 0.7590
Al2 0.3216 0.2410 0.2410
Pd1 0.0000 0.1776 0.8224
Pd2 0.0000 0.8224 0.1776

Compound: AlPd4Pt
Source: the Alexandria database
Functional: GGA-PBE
Structure: relaxed

abc: 5.0239 5.4087 8.0480
angles: 70.36 81.30 63.24
Sites, in units of the cell vectors:
Pt1 0.7500 0.7132 0.0736
Pt2 0.2500 0.2868 0.9264
Pd1 0.7646 0.2959 0.4018
Pd2 0.2209 0.8892 0.2425
Pd3 0.7354 0.8023 0.4018
Pd4 0.2791 0.3683 0.2425
Pd5 0.2354 0.7041 0.5982
Pd6 0.7209 0.6317 0.7575
Pd7 0.7791 0.1108 0.7575
Pd8 0.2646 0.1977 0.5982
Al1 0.2500 0.7843 0.9313
Al2 0.7500 0.2157 0.0687

polymorph energy (0 for the lowest one) = 0 kJ/mol of formula units

Compound: AlPd3Pt12
Source: the Alexandria database
Functional: GGA-PBE
Structure: relaxed

abc: 3.9404 3.9404 15.8986
angles: 90.00 90.00 90.00
Sites, in units of the cell vectors:
Pt1 0.0000 0.5000 0.1203
Pt2 0.5000 0.5000 0.2472
Pt3 0.5000 0.5000 0.5000
Pt4 0.0000 0.5000 0.8797
Pt5 0.5000 0.5000 0.0000
Pt6 0.0000 0.5000 0.6257
Pt7 0.5000 0.0000 0.1203
Pt8 0.5000 0.5000 0.7528
Pt9 0.5000 0.0000 0.8797
Pt10 0.5000 0.0000 0.6257
Pt11 0.0000 0.5000 0.3743
Pt12 0.5000 0.0000 0.3743
Al1 0.0000 0.0000 0.0000
Pd1 0.0000 0.0000 0.2483
Pd2 0.0000 0.0000 0.5000
Pd3 0.0000 0.0000 0.7517

Compound: AlPd2Pt7
Source: the Alexandria database
Functional: GGA-PBE
Structure: relaxed

abc: 4.1983 7.4795 7.4795
angles: 122.42 90.00 90.00
Sites, in units of the cell vectors:
Pt1 0.0000 0.8168 0.1832
Pt2 0.5000 0.0839 0.2885
Pt3 0.5000 0.5000 0.5000
Pt4 0.0000 0.1832 0.8168
Pt5 0.5000 0.2885 0.0839
Pt6 0.5000 0.7115 0.9161
Pt7 0.5000 0.9161 0.7115
Pd1 0.5000 0.7015 0.2985
Pd2 0.5000 0.2985 0.7015
Al1 0.0000 0.0000 0.0000

Compound: Al2Pd4Pt
Source: the Alexandria database
Functional: GGA-PBE
Structure: relaxed

abc: 6.6267 6.6267 6.6267
angles: 108.44 111.55 108.44
Sites, in units of the cell vectors:
Pt1 0.7500 0.5000 0.2500
Pt2 0.0000 0.0000 0.0000
Al1 0.5922 0.4672 0.6250
Al2 0.1578 0.5328 0.1250
Al3 0.8750 0.0328 0.4078
Al4 0.3750 0.9672 0.8422
Pd1 0.5855 0.7737 0.4913
Pd2 0.2413 0.2737 0.8355
Pd3 0.7175 0.2263 0.8117
Pd4 0.5617 0.7263 0.9675
Pd5 0.5087 0.0942 0.2825
Pd6 0.0325 0.5942 0.7587
Pd7 0.1645 0.4058 0.4383
Pd8 0.1883 0.9058 0.4145

polymorph energy (0 for the lowest one) = 78 kJ/mol of formula units

Compound: AlPd2Pt
Source: the Alexandria database
Functional: GGA-PBE
Structure: relaxed

abc: 3.7425 3.7425 9.7073
angles: 78.89 78.89 90.00
Sites, in units of the cell vectors:
Pt1 0.0000 0.0000 0.0000
Pt2 0.7500 0.2500 0.5000
Pd1 0.3750 0.3783 0.7500
Pd2 0.8750 0.8717 0.7500
Pd3 0.1283 0.6250 0.2500
Pd4 0.6217 0.1250 0.2500
Al1 0.2500 0.7500 0.5000
Al2 0.5000 0.5000 0.0000

Compound: AlPd3Pt3
Source: the Alexandria database
Functional: GGA-PBE
Structure: relaxed

abc: 5.2258 7.8111 7.8111
angles: 117.49 104.57 104.57
Sites, in units of the cell vectors:
Pd1 0.5529 0.5217 0.1816
Pd2 0.5529 0.1816 0.5217
Pd3 0.2668 0.1515 0.1515
Pd4 0.4471 0.8184 0.4783
Pd5 0.4471 0.4783 0.8184
Pd6 0.7332 0.8485 0.8485
Pt1 0.0000 0.1893 0.8107
Pt2 0.5000 0.8500 0.1500
Pt3 0.7628 0.5179 0.5179
Pt4 0.2372 0.4821 0.4821
Pt5 0.5000 0.1500 0.8500
Pt6 0.0000 0.8107 0.1893
Al1 0.7842 0.1877 0.1877
Al2 0.2158 0.8123 0.8123

Compound: AlPd4Pt
Source: the Alexandria database
Functional: GGA-PBE
Structure: relaxed

abc: 2.8381 4.6855 14.0195
angles: 90.00 95.81 90.00
Sites, in units of the cell vectors:
Pd1 0.7486 0.9449 0.4971
Pd2 0.4776 0.6252 0.9553
Pd3 0.3332 0.7948 0.6664
Pd4 0.5224 0.1252 0.0447
Pd5 0.8352 0.2918 0.6704
Pd6 0.2514 0.4449 0.5029
Pd7 0.6668 0.2948 0.3336
Pd8 0.1648 0.7918 0.3296
Al1 0.9047 0.6444 0.8093
Al2 0.0953 0.1444 0.1907
Pt1 0.5800 0.6324 0.1601
Pt2 0.4200 0.1324 0.8399

polymorph energy (0 for the lowest one) = 3 kJ/mol of formula units

Compound: Al2Pd2Pt3
Source: the Alexandria database
Functional: GGA-PBE
Structure: relaxed

abc: 2.8487 3.9642 9.7551
angles: 101.72 98.40 90.00
Sites, in units of the cell vectors:
Pt1 0.0000 0.0000 0.0000
Pt2 0.7949 0.2949 0.5898
Pt3 0.2051 0.7051 0.4102
Al1 0.3472 0.8472 0.6945
Al2 0.6528 0.1528 0.3055
Pd1 0.5732 0.5732 0.1463
Pd2 0.4268 0.4268 0.8537

polymorph energy (0 for the lowest one) = 51 kJ/mol of formula units

Compound: Al2Pd5Pt5
Source: the Alexandria database
Functional: GGA-PBE
Structure: relaxed

abc: 3.9545 8.1640 6.3143
angles: 72.13 71.75 75.98
Sites, in units of the cell vectors:
Pd1 0.7480 0.2632 0.2408
Pd2 0.2520 0.7368 0.7592
Pd3 0.0816 0.2532 0.5836
Pd4 0.0000 0.0000 0.0000
Pd5 0.9184 0.7468 0.4164
Al1 0.1561 0.5004 0.1874
Al2 0.8439 0.4996 0.8126
Pt1 0.5994 0.7246 0.0766
Pt2 0.6655 0.0004 0.6687
Pt3 0.3345 0.9996 0.3313
Pt4 0.5000 0.5000 0.5000
Pt5 0.4006 0.2754 0.9234

Compound: Al2Pd8Pt3
Source: the Alexandria database
Functional: GGA-PBE
Structure: relaxed

abc: 3.8779 7.8983 7.8983
angles: 63.72 90.00 90.00
Sites, in units of the cell vectors:
Al1 0.5001 0.2678 0.2678
Al2 0.4999 0.7322 0.7322
Pd1 0.5000 0.3884 0.9000
Pd2 0.9999 0.6120 0.6120
Pd3 0.5000 0.1000 0.6116
Pd4 0.5000 0.6116 0.1000
Pd5 0.0000 0.8433 0.8433
Pd6 0.5000 0.9000 0.3884
Pd7 0.0000 0.1567 0.1567
Pd8 0.0001 0.3880 0.3880
Pt1 0.0000 0.7730 0.2270
Pt2 0.0000 0.2270 0.7730
Pt3 0.5000 0.0000 0.0000

polymorph energy (0 for the lowest one) = 0 kJ/mol of formula units

Compound: Al3Pd2Pt3
Source: the Alexandria database
Functional: GGA-PBE
Structure: relaxed

abc: 3.3685 4.2129 8.8006
angles: 103.85 101.03 90.00
Sites, in units of the cell vectors:
Pt1 0.6161 0.6161 0.2321
Pt2 0.5000 0.0000 0.0000
Pt3 0.3839 0.3839 0.7679
Pd1 0.2599 0.7599 0.5198
Pd2 0.7401 0.2401 0.4802
Al1 0.0000 0.5000 0.0000
Al2 0.8690 0.8690 0.7379
Al3 0.1310 0.1310 0.2621

Compound: Al2PdPt9
Source: the Alexandria database
Functional: GGA-PBE
Structure: relaxed

abc: 3.9340 3.9340 11.8126
angles: 90.00 90.00 90.00
Sites, in units of the cell vectors:
Pt1 0.5000 0.5000 0.3368
Pt2 0.5000 0.0000 0.5000
Pt3 0.5000 0.5000 0.6632
Pt4 0.5000 0.0000 0.1727
Pt5 0.5000 0.5000 0.0000
Pt6 0.0000 0.5000 0.8273
Pt7 0.0000 0.5000 0.1727
Pt8 0.0000 0.5000 0.5000
Pt9 0.5000 0.0000 0.8273
Al1 0.0000 0.0000 0.6683
Al2 0.0000 0.0000 0.3317
Pd1 0.0000 0.0000 0.0000

Compound: AlPd5Pt2
Source: the Alexandria database
Functional: GGA-PBE
Structure: relaxed

abc: 3.9076 5.5743 11.1554
angles: 90.00 90.00 90.00
Sites, in units of the cell vectors:
Pd1 0.0000 0.4989 0.7563
Pd2 0.5000 0.7503 0.1240
Pd3 0.0000 0.5000 0.5000
Pd4 0.5000 0.2503 0.3760
Pd5 0.5000 0.7497 0.6240
Pd6 0.0000 0.0011 0.2563
Pd7 0.5000 0.2497 0.8760
Pd8 0.0000 0.5011 0.2437
Pd9 0.0000 0.0000 0.0000
Pd10 0.0000 0.9989 0.7437
Pt1 0.5000 0.2440 0.6214
Pt2 0.5000 0.2560 0.1214
Pt3 0.5000 0.7560 0.3786
Pt4 0.5000 0.7440 0.8786
Al1 0.0000 0.0000 0.5000
Al2 0.0000 0.5000 0.0000

polymorph energy (0 for the lowest one) = 0 kJ/mol of formula units

Compound: Al2Pd12Pt5
Source: the Alexandria database
Functional: GGA-PBE
Structure: relaxed

abc: 8.4112 7.1946 6.0690
angles: 89.05 90.00 125.77
Sites, in units of the cell vectors:
Pd1 0.5692 0.6273 0.8042
Pd2 0.1612 0.7967 0.3777
Pd3 0.6355 0.7967 0.3777
Pd4 0.8848 0.7697 0.0885
Pd5 0.4486 0.8973 0.7030
Pd6 0.9419 0.3727 0.1958
Pd7 0.4308 0.3727 0.1958
Pd8 0.3645 0.2033 0.6223
Pd9 0.1152 0.2303 0.9115
Pd10 0.5514 0.1027 0.2970
Pd11 0.0581 0.6273 0.8042
Pd12 0.8388 0.2033 0.6223
Pt1 0.0000 0.0000 0.5000
Pt2 0.7649 0.5299 0.4954
Pt3 0.6625 0.3251 0.9058
Pt4 0.2351 0.4701 0.5046
Pt5 0.3375 0.6749 0.0942
Al1 0.7300 0.0000 0.0000
Al2 0.2700 0.0000 0.0000

Compound: AlPd2Pt6
Source: the Alexandria database
Functional: GGA-PBE
Structure: relaxed

abc: 2.7903 7.2465 7.9237
angles: 62.79 85.05 79.13
Sites, in units of the cell vectors:
Al1 0.0000 0.0000 0.0000
Pd1 0.5000 0.1558 0.6883
Pd2 0.5000 0.8442 0.3117
Pt1 0.8282 0.1668 0.3339
Pt2 0.3398 0.3068 0.0000
Pt3 0.6602 0.6932 0.0000
Pt4 0.1718 0.4992 0.3339
Pt5 0.1718 0.8332 0.6661
Pt6 0.8282 0.5008 0.6661

Computed formation energy (meV/atom) in order:
-530, -259, -471, -377, -259, -357, -199, 235, -453, -309, -75, -353, -605, -451, -237, -843, -471, -340, -220, -269
Computed ρ (g/cm3) in order:
15.0, 12.1, 11.0, 13.2, 15.0, 11.7, 18.1, 13.4, 10.0, 11.0, 12.5, 11.6, 13.3, 14.3, 11.4, 12.3, 17.4, 13.0, 12.9, 16.7